Entry 1:
First-principles (PBE) data for a geometry-optimized Pm6As3Se2I structure, as listed in the Alexandria database.

Output
**Raw formation energy**: -1.57 eV per atom

```
data_Pm6As3Se2I
_cell_length_a 18.7237
_cell_length_b 4.2420
_cell_length_c 8.6299
_cell_angle_alpha 90.00
_cell_angle_beta 104.23
_cell_angle_gamma 90.00
_space_group_name_H-M_alt 'C 1 2/m 1'
_space_group_IT_number 12
loop_
_space_group_symop_operation_xyz
'x,y,z'
'-x,-y,-z'
'-x,y,-z'
'x,-y,z'
'x+1/2,y+1/2,z'
'-x+1/2,-y+1/2,-z'
'-x+1/2,y+1/2,-z'
'x+1/2,-y+1/2,z'
loop_
_atom_site_label
_atom_site_fract_x
_atom_site_fract_y
_atom_site_fract_z
Pm1 0.0012 0.0000 0.2194
Pm2 0.1646 0.5000 0.0913
Pm3 0.1793 0.5000 0.5820
As1 0.0000 0.5000 0.0000
As2 0.1623 0.0000 0.3331
Se1 0.1666 0.0000 0.8318
I1 0.0000 0.5000 0.5000
```

Entry 2:
First-principles (PBE) data for a geometry-optimized Pm8Si3AsI4 structure, as listed in the Alexandria database.

Output
**Raw formation energy**: -1.04 eV per atom

```
data_Pm8Si3AsI4
_cell_length_a 8.5899
_cell_length_b 8.5899
_cell_length_c 23.0032
_cell_angle_alpha 90.00
_cell_angle_beta 90.00
_cell_angle_gamma 120.00
_space_group_name_H-M_alt 'R -3 m'
_space_group_IT_number 166
_space_group_name_Hall '-R 3 2"'
loop_
_atom_site_label
_atom_site_fract_x
_atom_site_fract_y
_atom_site_fract_z
Pm1 0.0000 0.0000 0.2320
Pm2 0.0048 0.5024 0.7684
Si1 0.0000 0.5000 0.5000
As1 0.0000 0.0000 0.5000
I1 0.0000 0.0000 0.0000
I2 0.0000 0.5000 0.0000
```

Entry 3:
First-principles (PBE) data for a geometry-optimized TbPmAsI structure, as listed in the Alexandria database.

Output
**Raw formation energy**: -1.27 eV per atom

```
data_TbPmAsI
_cell_length_a 4.1865
_cell_length_b 4.1865
_cell_length_c 22.8402
_cell_angle_alpha 90.00
_cell_angle_beta 90.00
_cell_angle_gamma 120.00
_space_group_name_H-M_alt 'R 3 m'
_space_group_IT_number 160
_space_group_name_Hall 'R 3 -2"'
loop_
_atom_site_label
_atom_site_fract_x
_atom_site_fract_y
_atom_site_fract_z
Tb1 0.0000 0.0000 0.0000
Pm1 0.0000 0.0000 0.8002
As1 0.0000 0.0000 0.3957
I1 0.0000 0.0000 0.5693
```

Entry 4:
First-principles (PBE) data for a geometry-optimized Pm4TeAsI2 structure, as listed in the Alexandria database.

Output
**Raw formation energy**: -1.18 eV per atom

```
data_Pm4TeAsI2
_cell_length_a 7.8207
_cell_length_b 4.3728
_cell_length_c 7.8334
_cell_angle_alpha 90.00
_cell_angle_beta 108.59
_cell_angle_gamma 90.00
_space_group_name_H-M_alt 'P 1 2/m 1'
_space_group_IT_number 10
loop_
_space_group_symop_operation_xyz
'x,y,z'
'-x,-y,-z'
'-x,y,-z'
'x,-y,z'
loop_
_atom_site_label
_atom_site_fract_x
_atom_site_fract_y
_atom_site_fract_z
Pm1 0.1980 0.0000 0.2122
Pm2 0.2048 0.5000 0.7618
Te1 0.0000 0.0000 0.5000
As1 0.0000 0.5000 0.0000
I1 0.5000 0.0000 0.0000
I2 0.5000 0.5000 0.5000
```

Number 1: calculated volume 27.7 Å³ per atom, raw total energy -5.82 eV/atom. Number 2: calculated volume 30.6 Å³ per atom, raw total energy -5.11 eV/atom. Number 3: calculated volume 28.9 Å³ per atom, raw total energy -5.16 eV/atom. Number 4: calculated volume 31.7 Å³ per atom, raw total energy -4.92 eV/atom.